[1]
# GGA-PBE Pr3Nb3As, relaxed
# DFT total energy ... -100.1 eV/cell
# V ... 195.5 Å³/f.u.
data_Pr3Nb3As
_symmetry_space_group_name_H-M 'P 1 21/m 1'
_symmetry_Int_Tables_number 11
_cell_length_a 8.118
_cell_length_b 4.019
_cell_length_c 12.131
_cell_angle_alpha 90.00
_cell_angle_beta 99.01
_cell_angle_gamma 90.00
loop_
_symmetry_equiv_pos_as_xyz
'x,y,z'
'-x,-y,-z'
'-x,y+1/2,-z'
'x,-y+1/2,z'
loop_
_atom_site_label
_atom_site_type_symbol
_atom_site_fract_x
_atom_site_fract_y
_atom_site_fract_z
Pr1 Pr 0.053 0.250 0.135
Pr2 Pr 0.141 0.250 0.630
Pr3 Pr 0.385 0.750 0.351
Nb1 Nb 0.276 0.250 0.904
Nb2 Nb 0.366 0.750 0.056
Nb3 Nb 0.451 0.750 0.826
As1 As 0.129 0.250 0.387

[2]
# GGA-PBE AgIrSeO, relaxed
# Offset from the most stable computed form ... 0.0 meV per atom
# V ... 67.2 Å³/f.u.
data_AgIrSeO
_symmetry_space_group_name_H-M 'P 1 21/c 1'
_symmetry_Int_Tables_number 14
_cell_length_a 6.543
_cell_length_b 6.695
_cell_length_c 6.137
_cell_angle_alpha 90.00
_cell_angle_beta 92.08
_cell_angle_gamma 90.00
loop_
_symmetry_equiv_pos_as_xyz
'x,y,z'
'-x,-y,-z'
'-x,y+1/2,-z+1/2'
'x,-y+1/2,z+1/2'
loop_
_atom_site_label
_atom_site_type_symbol
_atom_site_fract_x
_atom_site_fract_y
_atom_site_fract_z
Ag1 Ag 0.058 0.212 0.484
Ir1 Ir 0.493 0.627 0.767
Se1 Se 0.283 0.623 0.433
O1 O 0.370 0.126 0.401

[3]
# GGA-PBE KYZrSe3, relaxed
# DFT total energy ... -139.4 eV/cell
# V ... 179.2 Å³/f.u.
data_KYZrSe3
_symmetry_space_group_name_H-M 'C m c m'
_symmetry_Int_Tables_number 63
_symmetry_space_group_name_Hall '-C 2c 2'
_cell_length_a 4.338
_cell_length_b 15.137
_cell_length_c 10.915
_cell_angle_alpha 90.00
_cell_angle_beta 90.00
_cell_angle_gamma 90.00
loop_
_atom_site_label
_atom_site_type_symbol
_atom_site_fract_x
_atom_site_fract_y
_atom_site_fract_z
K1 K 0.000 0.249 0.250
Y1 Y 0.000 0.500 0.000
Zr1 Zr 0.000 0.024 0.750
Se1 Se 0.000 0.124 0.556
Se2 Se 0.000 0.426 0.750

[4]
# GGA-PBE La2SnAu, relaxed
# DFT total energy ... -40.5 eV/cell
# V ... 120.7 Å³/f.u.
data_La2SnAu
_symmetry_space_group_name_H-M 'A m m 2'
_symmetry_Int_Tables_number 38
_cell_length_a 4.659
_cell_length_b 4.389
_cell_length_c 11.801
_cell_angle_alpha 90.00
_cell_angle_beta 90.00
_cell_angle_gamma 90.00
loop_
_symmetry_equiv_pos_as_xyz
'x,y,z'
'-x,-y,z'
'-x,y,z'
'x,-y,z'
'x,y+1/2,z+1/2'
'-x,-y+1/2,z+1/2'
'-x,y+1/2,z+1/2'
'x,-y+1/2,z+1/2'
loop_
_atom_site_label
_atom_site_type_symbol
_atom_site_fract_x
_atom_site_fract_y
_atom_site_fract_z
La1 La 0.000 0.000 0.000
La2 La 0.500 0.000 0.279
Sn1 Sn 0.000 0.000 0.719
Au1 Au 0.500 0.000 0.553